The following is a DFT calculation (PBE) of a geometry-optimized Si3Rh4 structure.

The crystal system is hexagonal. The density of states at the Fermi level comes out at 5.6 states/eV per cell. Its theoretical density is 8657 kg/m³. The value obtained for the formation energy from raw total energies is 0.4 eV/f.u. The uncorrected energy comes out at -45.23 eV for the cell shown. The calculation puts the magnetic moment at 0.0 μB per formula unit.

Cell lengths 4.6326, 4.6326, 5.1176 Å; angles 90.00, 90.00, 120.00 degrees
Space group P6/mmm (No. 191)
One atom of each set of equivalent atoms:
Si  0.0000  0.5000  0.0000
Rh  0.0000  0.0000  0.2514
Rh  0.3333  0.6667  0.5000

=====

The following is a DFT calculation (PBE) of a geometry-optimized Si2Rh structure.

The crystal system is hexagonal. The density of states at the Fermi level comes out at 4.0 states/eV per cell. Its theoretical density is 6281 kg/m³. The value obtained for the formation energy from raw total energies is -0.9 eV/f.u. The uncorrected energy comes out at -57.42 eV for the cell shown. The calculation puts the magnetic moment at 0.0 μB per formula unit.

Cell lengths 6.7972, 6.7972, 3.1533 Å; angles 90.00, 90.00, 120.00 degrees
Space group P-62m (No. 189)
One atom of each set of equivalent atoms:
Si  0.0000  0.2816  0.0000
Si  0.0000  0.6206  0.5000
Rh  0.0000  0.0000  0.5000
Rh  0.3333  0.6667  0.0000

=====

The following is a DFT calculation (PBE) of a geometry-optimized SiRh structure.

The crystal system is cubic. The density of states at the Fermi level comes out at 13.3 states/eV per cell. Its theoretical density is 4577 kg/m³. The value obtained for the formation energy from raw total energies is -0.2 eV/f.u. The uncorrected energy comes out at -104.17 eV for the cell shown. The calculation puts the magnetic moment at 0.0 μB per formula unit.

Cell lengths 7.244, 7.244, 7.244 Å; angles 90.00, 90.00, 90.00 degrees
Space group I-43m (No. 217)
One atom of each set of equivalent atoms:
Si  0.179  0.179  0.179
Rh  0.140  0.140  0.860

=====

The following is a DFT calculation (PBE) of a geometry-optimized SiRh structure.

The crystal system is trigonal. The density of states at the Fermi level comes out at 8.3 states/eV per cell. Its theoretical density is 7676 kg/m³. The value obtained for the formation energy from raw total energies is -0.6 eV/f.u. The uncorrected energy comes out at -80.44 eV for the cell shown. The calculation puts the magnetic moment at 0.0 μB per formula unit.

Cell lengths 2.9173, 2.9173, 23.0702 Å; angles 90.00, 90.00, 120.00 degrees
Space group R-3m (No. 166, hexagonal axes)
One atom of each set of equivalent atoms:
Si  0.0000  0.0000  0.1232
Rh  0.0000  0.0000  0.3844

=====

The following is a DFT calculation (PBE) of a geometry-optimized SiRh4 structure.

The crystal system is tetragonal. The density of states at the Fermi level comes out at 9.1 states/eV per cell. Its theoretical density is 10609 kg/m³. The value obtained for the formation energy from raw total energies is -1.4 eV/f.u. The uncorrected energy comes out at -72.56 eV for the cell shown. The calculation puts the magnetic moment at 0.0 μB per formula unit. As for the polymorph energy (0 for the lowest one): 0.0 meV/atom.

Cell lengths 5.956, 5.956, 3.880 Å; angles 90.00, 90.00, 90.00 degrees
Space group I4/m (No. 87)
One atom of each set of equivalent atoms:
Si  0.000  0.000  0.000
Rh  0.106  0.301  0.500

=====

The following is a DFT calculation (PBE) of a geometry-optimized SiRh structure.

The crystal system is trigonal. The density of states at the Fermi level comes out at 3.4 states/eV per cell. Its theoretical density is 8011 kg/m³. The value obtained for the formation energy from raw total energies is -1.2 eV/f.u. The uncorrected energy comes out at -41.87 eV for the cell shown. The calculation puts the magnetic moment at 0.0 μB per formula unit.

Cell lengths 2.8955, 2.8955, 11.2191 Å; angles 90.00, 90.00, 120.00 degrees
Space group R-3m (No. 166, hexagonal axes)
One atom of each set of equivalent atoms:
Si  0.0000  0.0000  0.0000
Rh  0.0000  0.0000  0.5000